[1]
VASP calculation (PBE-GGA) on a geometry-optimized Co2ReIr structure.

a b c (Å): 2.741 4.467 8.705
angles (deg): 90.00 90.00 90.00
Fractional coordinates of all 8 atoms:
Co 0.000 0.000 0.245
Co 0.000 0.000 0.755
Co 0.500 0.500 0.255
Co 0.500 0.500 0.745
Re 0.000 0.500 0.500
Re 0.500 0.000 0.000
Ir 0.000 0.500 0.000
Ir 0.500 0.000 0.500

DFT total energy ... -8.58 eV/atom
Formation energy ... 1.2 eV per formula unit
DOS at the Fermi energy ... 1.77 states/eV/atom

---

[2]
VASP calculation (PBE-GGA) on a geometry-optimized CoReIr2 structure.

a b c (Å): 2.708 2.708 7.482
angles (deg): 90.00 90.00 90.00
Fractional coordinates of all 4 atoms:
Co 0.000 0.000 0.000
Re 0.500 0.500 0.763
Ir 0.000 0.000 0.504
Ir 0.500 0.500 0.236

Distance to the lowest polymorph of the same formula ... 9.0 kJ/mol of atoms
DFT total energy ... -9.32 eV/atom
Formation energy ... 0.0 eV per formula unit
DOS at the Fermi energy ... 0.98 states/eV/atom

---

[3]
VASP calculation (PBE-GGA) on a geometry-optimized CoRe2Ir structure.

a b c (Å): 2.724 4.432 9.274
angles (deg): 90.00 90.00 90.00
Fractional coordinates of all 8 atoms:
Co 0.000 0.000 0.000
Co 0.500 0.500 0.500
Re 0.000 0.000 0.506
Re 0.000 0.500 0.718
Re 0.500 0.000 0.218
Re 0.500 0.500 0.006
Ir 0.000 0.500 0.276
Ir 0.500 0.000 0.776

Distance to the lowest polymorph of the same formula ... 35.2 kJ/mol of atoms
DFT total energy ... -10.01 eV/atom
Formation energy ... 0.8 eV per formula unit
DOS at the Fermi energy ... 1.10 states/eV/atom

---

[4]
VASP calculation (PBE-GGA) on a geometry-optimized Co3ReIr structure.

a b c (Å): 4.443 4.443 4.443
angles (deg): 90.00 90.00 90.00
Fractional coordinates of all 5 atoms:
Co 0.000 0.000 0.500
Co 0.000 0.500 0.000
Co 0.500 0.000 0.000
Re 0.500 0.500 0.500
Ir 0.000 0.000 0.000

Distance to the lowest polymorph of the same formula ... 15.1 kJ/mol of atoms
DFT total energy ... -6.60 eV/atom
Formation energy ... 9.6 eV per formula unit
DOS at the Fermi energy ... 1.44 states/eV/atom